Compound: CeCo4Cu
Source: Alexandria
Functional: GGA-PBEsol
Structure: relaxed

Computed properties:
Symmetry: P-6m2 (187)
E in eV per atom: -7.05
Total moment in μB per formula unit: 3.86

a b c (Å): 3.951 4.825 4.825
angles (deg): 120.00 90.00 90.00
Atoms (fractional coordinates):
Ce (0.000, 0.000, 0.000)
Co (0.000, 0.333, 0.667)
Co (0.500, 0.002, 0.501)
Co (0.500, 0.499, 0.998)
Co (0.500, 0.499, 0.501)
Cu (0.000, 0.667, 0.333)


Compound: Cs2ICl
Source: Alexandria
Functional: GGA-PBEsol
Structure: relaxed

Computed properties:
Uncorrected formation energy in kJ/mol of formula units: -638
Symmetry: I-42d (122)
E in eV per atom: -3.07
Total moment in μB per formula unit: 0.00

a b c (Å): 8.263 8.263 8.263
angles (deg): 75.90 67.78 112.22
Atoms (fractional coordinates):
Cs (0.037, 0.412, 0.125)
Cs (0.963, 0.838, 0.625)
Cs (0.537, 0.125, 0.838)
Cs (0.463, 0.625, 0.412)
I (0.500, 0.250, 0.250)
I (0.000, 0.000, 0.000)
Cl (0.500, 0.750, 0.750)
Cl (0.000, 0.500, 0.500)


Compound: LiVCSO7
Source: Alexandria
Functional: GGA-PBEsol
Structure: relaxed

Computed properties:
Uncorrected formation energy in kJ/mol of formula units: -1773
Symmetry: P2_1 (4)
E in eV per atom: -7.34
Total moment in μB per formula unit: 2.00

a b c (Å): 5.188 6.278 9.588
angles (deg): 90.00 93.27 90.00
Atoms (fractional coordinates):
Li (0.759, 0.587, 0.387)
Li (0.241, 0.087, 0.613)
V (0.282, 0.724, 0.154)
V (0.718, 0.224, 0.846)
C (0.230, 0.767, 0.400)
C (0.770, 0.267, 0.600)
S (0.228, 0.225, 0.068)
S (0.772, 0.725, 0.932)
O (0.805, 0.327, 0.479)
O (0.456, 0.741, 0.346)
O (0.039, 0.727, 0.305)
O (0.284, 0.037, 0.158)
O (0.288, 0.412, 0.158)
O (0.614, 0.724, 0.055)
O (0.951, 0.227, 0.022)
O (0.049, 0.727, 0.978)
O (0.386, 0.224, 0.945)
O (0.712, 0.912, 0.842)
O (0.716, 0.537, 0.842)
O (0.961, 0.227, 0.695)
O (0.544, 0.241, 0.654)
O (0.195, 0.827, 0.521)


Compound: Cs2NaHgIr
Source: Alexandria
Functional: GGA-PBEsol
Structure: relaxed

Computed properties:
Symmetry: P4/mmm (123)
E in eV per atom: -2.15
Total moment in μB per formula unit: 0.00

a b c (Å): 5.663 5.839 5.839
angles (deg): 90.00 90.00 90.00
Atoms (fractional coordinates):
Cs (0.000, 0.000, 0.500)
Cs (0.000, 0.500, 0.000)
Na (0.500, 0.000, 0.000)
Ir (0.000, 0.000, 0.000)
Hg (0.500, 0.500, 0.500)


Compound: In2RhCl
Source: Alexandria
Functional: GGA-PBEsol
Structure: relaxed

Computed properties:
Uncorrected formation energy in kJ/mol of formula units: -150
Symmetry: R-3m (166)
E in eV per atom: -4.42
Energy above the lowest structure with this stoichiometry in meV per atom: 0
Total moment in μB per formula unit: 0.00

a b c (Å): 3.402 3.402 8.228
angles (deg): 78.07 78.07 60.00
Atoms (fractional coordinates):
Cl (0.000, 0.000, 0.000)
Rh (0.500, 0.500, 0.500)
In (0.241, 0.241, 0.277)
In (0.759, 0.759, 0.723)


Compound: CaAg2Rh
Source: Alexandria
Functional: GGA-PBEsol
Structure: relaxed

Computed properties:
Symmetry: P4mm (99)
E in eV per atom: -4.24
Energy above the lowest structure with this stoichiometry in meV per atom: 113
Total moment in μB per formula unit: 0.00

a b c (Å): 3.420 3.420 6.217
angles (deg): 90.00 90.00 90.00
Atoms (fractional coordinates):
Ca (0.000, 0.000, 0.519)
Rh (0.500, 0.500, 0.768)
Ag (0.000, 0.000, 0.996)
Ag (0.500, 0.500, 0.216)


Compound: CdCoRh3
Source: Alexandria
Functional: GGA-PBEsol
Structure: relaxed

Computed properties:
Symmetry: Pm-3m (221)
E in eV per atom: -5.75
Total moment in μB per formula unit: 3.65

a b c (Å): 4.399 4.399 4.399
angles (deg): 90.00 90.00 90.00
Atoms (fractional coordinates):
Co (0.000, 0.000, 0.000)
Rh (0.000, 0.500, 0.000)
Rh (0.000, 0.000, 0.500)
Rh (0.500, 0.000, 0.000)
Cd (0.500, 0.500, 0.500)


Compound: MgPIO2
Source: Alexandria
Functional: GGA-PBEsol
Structure: relaxed

Computed properties:
Uncorrected formation energy in kJ/mol of formula units: -57
Symmetry: P4/mmm (123)
E in eV per atom: -4.07
Energy above the lowest structure with this stoichiometry in meV per atom: 0
Total moment in μB per formula unit: 2.26

a b c (Å): 3.896 3.896 5.687
angles (deg): 90.00 90.00 90.00
Atoms (fractional coordinates):
I (0.500, 0.500, 0.500)
P (0.000, 0.000, 0.500)
Mg (0.000, 0.000, 0.000)
O (0.000, 0.500, 0.000)
O (0.500, 0.000, 0.000)


Compound: NbReSbTe2
Source: Alexandria
Functional: GGA-PBEsol
Structure: relaxed

Computed properties:
Uncorrected formation energy in kJ/mol of formula units: 976
Symmetry: P4/mmm (123)
E in eV per atom: -5.13
Energy above the lowest structure with this stoichiometry in meV per atom: 766
Total moment in μB per formula unit: 0.04

a b c (Å): 4.962 5.552 5.552
angles (deg): 90.00 90.00 90.00
Atoms (fractional coordinates):
Re (0.500, 0.000, 0.000)
Nb (0.500, 0.500, 0.500)
Te (0.000, 0.000, 0.500)
Te (0.000, 0.500, 0.000)
Sb (0.000, 0.000, 0.000)


Compound: TaMnCr
Source: Alexandria
Functional: GGA-PBEsol
Structure: relaxed

Computed properties:
Symmetry: F-43m (216)
E in eV per atom: -10.04
Total moment in μB per formula unit: 0.68

a b c (Å): 3.998 3.998 3.998
angles (deg): 60.00 60.00 60.00
Atoms (fractional coordinates):
Cr (0.250, 0.250, 0.250)
Mn (0.000, 0.000, 0.000)
Ta (0.500, 0.500, 0.500)


Compound: MgCd2Ag
Source: Alexandria
Functional: GGA-PBEsol
Structure: relaxed

Computed properties:
Symmetry: C2/m (12)
E in eV per atom: -1.96
Energy above the lowest structure with this stoichiometry in meV per atom: 18
Total moment in μB per formula unit: 0.00

a b c (Å): 3.260 4.887 5.291
angles (deg): 105.57 107.94 90.00
Atoms (fractional coordinates):
Mg (0.500, 0.000, 0.000)
Ag (0.000, 0.500, 0.000)
Cd (0.259, 0.258, 0.517)
Cd (0.741, 0.742, 0.483)


Compound: SbMoP
Source: Alexandria
Functional: GGA-PBEsol
Structure: relaxed

Computed properties:
Uncorrected formation energy in kJ/mol of formula units: 122
Symmetry: F-43m (216)
E in eV per atom: -6.95
Energy above the lowest structure with this stoichiometry in meV per atom: 304
Total moment in μB per formula unit: 0.97

a b c (Å): 4.378 4.378 4.378
angles (deg): 60.00 60.00 60.00
Atoms (fractional coordinates):
Sb (0.500, 0.500, 0.500)
Mo (0.250, 0.250, 0.250)
P (0.000, 0.000, 0.000)


Compound: BaMgAg3
Source: Alexandria
Functional: GGA-PBEsol
Structure: relaxed

Computed properties:
Symmetry: Pm-3m (221)
E in eV per atom: -1.69
Total moment in μB per formula unit: 0.00

a b c (Å): 5.826 5.826 5.826
angles (deg): 90.00 90.00 90.00
Atoms (fractional coordinates):
Mg (0.500, 0.500, 0.500)
Ba (0.000, 0.000, 0.000)
Ag (0.000, 0.500, 0.000)
Ag (0.000, 0.000, 0.500)
Ag (0.500, 0.000, 0.000)


Compound: ScRu2Br
Source: Alexandria
Functional: GGA-PBEsol
Structure: relaxed

Computed properties:
Uncorrected formation energy in kJ/mol of formula units: 73
Symmetry: C2/m (12)
E in eV per atom: -7.02
Energy above the lowest structure with this stoichiometry in meV per atom: 249
Total moment in μB per formula unit: 0.00

a b c (Å): 3.005 4.684 5.254
angles (deg): 115.55 105.28 92.88
Atoms (fractional coordinates):
Br (0.500, 0.000, 0.000)
Ru (0.500, 0.500, 0.500)
Ru (0.000, 0.000, 0.500)
Sc (0.000, 0.500, 0.000)


Compound: LaSc2Ir
Source: Alexandria
Functional: GGA-PBEsol
Structure: relaxed

Computed properties:
Symmetry: Imm2 (44)
E in eV per atom: -7.49
Energy above the lowest structure with this stoichiometry in meV per atom: 0
Total moment in μB per formula unit: 0.00

a b c (Å): 3.538 4.954 5.921
angles (deg): 114.73 107.38 90.00
Atoms (fractional coordinates):
Ir (0.489, 0.490, 0.979)
La (0.210, 0.710, 0.420)
Sc (0.999, 0.999, 0.998)
Sc (0.802, 0.302, 0.603)


Compound: LiLaSb2Te
Source: Alexandria
Functional: GGA-PBEsol
Structure: relaxed

Computed properties:
Uncorrected formation energy in kJ/mol of formula units: 60
Symmetry: P4/mmm (123)
E in eV per atom: -3.87
Total moment in μB per formula unit: 0.00

a b c (Å): 5.987 5.987 6.043
angles (deg): 90.00 90.00 90.00
Atoms (fractional coordinates):
Sb (0.000, 0.500, 0.000)
Sb (0.500, 0.000, 0.000)
Te (0.000, 0.000, 0.500)
Li (0.500, 0.500, 0.500)
La (0.000, 0.000, 0.000)


Compound: TaPbCl2
Source: Alexandria
Functional: GGA-PBEsol
Structure: relaxed

Computed properties:
Uncorrected formation energy in kJ/mol of formula units: 151
Symmetry: Cmmm (65)
E in eV per atom: -4.75
Total moment in μB per formula unit: 0.71

a b c (Å): 3.049 5.319 5.319
angles (deg): 110.07 90.00 90.00
Atoms (fractional coordinates):
Pb (0.500, 0.000, 0.000)
Cl (0.000, 0.500, 0.000)
Cl (0.000, 0.000, 0.500)
Ta (0.500, 0.500, 0.500)


Compound: ScFeSe3
Source: Alexandria
Functional: GGA-PBEsol
Structure: relaxed

Computed properties:
Uncorrected formation energy in kJ/mol of formula units: -128
Symmetry: Pm-3m (221)
E in eV per atom: -5.69
Total moment in μB per formula unit: 2.32

a b c (Å): 4.665 4.665 4.665
angles (deg): 90.00 90.00 90.00
Atoms (fractional coordinates):
Sc (0.500, 0.500, 0.500)
Fe (0.000, 0.000, 0.000)
Se (0.000, 0.500, 0.000)
Se (0.000, 0.000, 0.500)
Se (0.500, 0.000, 0.000)


Compound: AlPt2
Source: Alexandria
Functional: GGA-PBEsol
Structure: relaxed

Computed properties:
Symmetry: Fm-3m (225)
E in eV per atom: -6.76
Total moment in μB per formula unit: 0.00

a b c (Å): 4.066 4.066 4.066
angles (deg): 60.00 60.00 60.00
Atoms (fractional coordinates):
Al (0.000, 0.000, 0.000)
Pt (0.750, 0.750, 0.750)
Pt (0.250, 0.250, 0.250)


Compound: MgP
Source: Alexandria
Functional: GGA-PBEsol
Structure: relaxed

Computed properties:
Symmetry: Cmmm (65)
E in eV per atom: -3.94
Energy above the lowest structure with this stoichiometry in meV per atom: 141
Total moment in μB per formula unit: 0.00

a b c (Å): 3.075 3.075 3.593
angles (deg): 90.00 90.00 96.10
Atoms (fractional coordinates):
P (0.500, 0.500, 0.500)
Mg (0.000, 0.000, 0.000)


Compound: BeIn2Cl
Source: Alexandria
Functional: GGA-PBEsol
Structure: relaxed

Computed properties:
Uncorrected formation energy in kJ/mol of formula units: 75
Symmetry: Immm (71)
E in eV per atom: -2.80
Energy above the lowest structure with this stoichiometry in meV per atom: 263
Total moment in μB per formula unit: 0.00

a b c (Å): 3.328 5.456 5.588
angles (deg): 119.23 107.32 90.00
Atoms (fractional coordinates):
Be (0.500, 0.000, 0.000)
Cl (0.000, 0.500, 0.000)
In (0.780, 0.780, 0.560)
In (0.220, 0.220, 0.440)


Compound: NaNbCo2O
Source: Alexandria
Functional: GGA-PBEsol
Structure: relaxed

Computed properties:
Uncorrected formation energy in kJ/mol of formula units: 851
Symmetry: P4/mmm (123)
E in eV per atom: -4.82
Total moment in μB per formula unit: 0.98

a b c (Å): 4.273 4.273 6.427
angles (deg): 90.00 90.00 90.00
Atoms (fractional coordinates):
Na (0.000, 0.000, 0.500)
Nb (0.000, 0.000, 0.000)
Co (0.000, 0.500, 0.000)
Co (0.500, 0.000, 0.000)
O (0.500, 0.500, 0.500)


Compound: Na2CaCl
Source: Alexandria
Functional: GGA-PBEsol
Structure: relaxed

Computed properties:
Uncorrected formation energy in kJ/mol of formula units: -91
Symmetry: Fm-3m (225)
E in eV per atom: -1.97
Total moment in μB per formula unit: 0.00

a b c (Å): 5.751 5.751 5.751
angles (deg): 60.00 60.00 60.00
Atoms (fractional coordinates):
Na (0.250, 0.250, 0.250)
Na (0.750, 0.750, 0.750)
Ca (0.500, 0.500, 0.500)
Cl (0.000, 0.000, 0.000)


Compound: CoSbRu2
Source: Alexandria
Functional: GGA-PBEsol
Structure: relaxed

Computed properties:
Uncorrected formation energy in kJ/mol of formula units: 50
Symmetry: I-4m2 (119)
E in eV per atom: -8.03
Total moment in μB per formula unit: 0.00

a b c (Å): 3.846 3.846 4.635
angles (deg): 114.52 114.52 90.00
Atoms (fractional coordinates):
Sb (0.500, 0.500, 0.000)
Co (0.250, 0.750, 0.500)
Ru (0.000, 0.000, 0.000)
Ru (0.750, 0.250, 0.500)


Compound: CaSc2P
Source: Alexandria
Functional: GGA-PBEsol
Structure: relaxed

Computed properties:
Symmetry: Amm2 (38)
E in eV per atom: -5.81
Total moment in μB per formula unit: 0.00

a b c (Å): 3.942 4.107 6.098
angles (deg): 90.00 108.86 90.00
Atoms (fractional coordinates):
Ca (0.527, 0.000, 0.054)
P (0.935, 0.500, 0.869)
Sc (0.808, 0.000, 0.616)
Sc (0.243, 0.500, 0.487)


Compound: CaAuSe2
Source: Alexandria
Functional: GGA-PBEsol
Structure: relaxed

Computed properties:
Uncorrected formation energy in kJ/mol of formula units: -349
Symmetry: P4/mmm (123)
E in eV per atom: -4.34
Energy above the lowest structure with this stoichiometry in meV per atom: 0
Total moment in μB per formula unit: 0.00

a b c (Å): 3.983 3.983 5.612
angles (deg): 90.00 90.00 90.00
Atoms (fractional coordinates):
Ca (0.500, 0.500, 0.500)
Au (0.000, 0.000, 0.000)
Se (0.000, 0.000, 0.500)
Se (0.500, 0.500, 0.000)


Compound: Mg2CdAs
Source: Alexandria
Functional: GGA-PBEsol
Structure: relaxed

Computed properties:
Symmetry: C2/m (12)
E in eV per atom: -2.64
Energy above the lowest structure with this stoichiometry in meV per atom: 5
Total moment in μB per formula unit: 0.00

a b c (Å): 4.040 4.105 6.686
angles (deg): 106.54 90.00 119.48
Atoms (fractional coordinates):
As (0.000, 0.000, 0.500)
Mg (0.730, 0.460, 0.697)
Mg (0.270, 0.540, 0.303)
Cd (0.500, 0.000, 0.000)


Compound: Ni3As2O8
Source: Alexandria
Functional: GGA-PBEsol
Structure: relaxed

Computed properties:
Uncorrected formation energy in kJ/mol of formula units: -1160
Symmetry: Cmce (64)
E in eV per atom: -6.36
Total moment in μB per formula unit: 6.00

a b c (Å): 5.854 6.336 8.145
angles (deg): 90.00 90.00 117.51
Atoms (fractional coordinates):
Ni (0.000, 0.000, 0.000)
Ni (0.118, 0.735, 0.250)
Ni (0.382, 0.265, 0.750)
Ni (0.500, 0.000, 0.500)
Ni (0.882, 0.265, 0.750)
Ni (0.618, 0.735, 0.250)
As (0.875, 0.750, 0.615)
As (0.125, 0.250, 0.385)
As (0.625, 0.250, 0.115)
As (0.375, 0.750, 0.885)
O (0.751, 0.502, 0.740)
O (0.249, 0.498, 0.260)
O (0.749, 0.498, 0.240)
O (0.251, 0.502, 0.760)
O (0.500, 0.999, 0.749)
O (0.500, 0.001, 0.251)
O (0.000, 0.001, 0.249)
O (0.000, 0.999, 0.751)
O (0.877, 0.243, 0.504)
O (0.634, 0.757, 0.496)
O (0.623, 0.757, 0.004)
O (0.866, 0.243, 0.996)
O (0.123, 0.757, 0.496)
O (0.366, 0.243, 0.504)
O (0.377, 0.243, 0.996)
O (0.134, 0.757, 0.004)